Entry 1:
20
Lattice="6.7110 0.0000 0.0000 -2.2370 6.3272 0.0000 -2.2370 -3.1636 5.4795" Properties=species:S:1:pos:R:3 comment="KLi3Zn4F12 (PBE, relaxed)" crystal_system=cubic sg="Im-3, No. 204" e_form_raw_ev_per_atom=-2.542 pbc="T T T"
K 0.0000 0.0000 0.0000
Li -2.2370 1.5818 2.7398
Li 2.2370 3.1636 0.0000
Li 2.2370 -1.5818 2.7398
Zn 3.3555 0.0000 0.0000
Zn 1.1185 1.5818 2.7398
Zn -1.1185 3.1636 0.0000
Zn -1.1185 -1.5818 2.7398
F -0.0371 4.7716 0.7299
F 2.2741 -1.6080 4.7496
F 1.6411 3.5850 2.7852
F 3.8781 3.7832 0.9822
F 4.5111 -0.1457 1.7121
F -0.5960 2.1227 1.7121
F 2.1999 1.4099 0.9822
F -2.2741 3.3093 3.7674
F 0.5960 -0.4214 2.6943
F -1.6411 -0.6195 4.4973
F 2.8330 1.0410 3.7674
F 0.0371 1.7537 4.4973

Entry 2:
6
Lattice="4.3251 0.0000 0.0000 0.0000 5.6450 0.0000 0.0000 0.0000 8.0770" Properties=species:S:1:pos:R:3 comment="AcSmRh (PBE, relaxed)" crystal_system=orthorhombic sg="Pmmn, No. 59" polymorph_energy_mev_per_atom=0.0 ef_kcal_per_mol_atoms=-11.9 pbc="T T T"
Rh 2.1625 0.0000 5.2269
Rh 0.0000 2.8225 2.8500
Sm 0.0000 0.0000 3.2425
Sm 2.1625 2.8225 4.8345
Ac 2.1625 2.8225 0.9838
Ac 0.0000 0.0000 7.0932

Entry 3:
6
Lattice="-0.7533 0.6348 -2.4058 -2.5769 0.0727 0.8261 1.2528 12.2212 2.8322" Properties=species:S:1:pos:R:3 comment="IrOsF (PBE, relaxed)" crystal_system=orthorhombic sg="Amm2, No. 38" polymorph_energy_mev_per_atom=275.5 e_form_raw_ev_per_atom=-0.046 pbc="T T T"
Ir 0.7667 11.4712 1.3820
Ir -1.1481 5.3970 0.3789
Os -0.0672 3.3362 -0.5033
Os -0.7292 9.4832 1.3259
F -0.2716 1.3419 -0.9655
F -0.9337 7.4889 0.8637

Entry 4:
5
Lattice="3.6731 0.0000 0.0000 0.0000 3.6731 0.0000 0.0000 0.0000 4.0976" Properties=species:S:1:pos:R:3 comment="V2GaCuH (PBE, relaxed)" crystal_system=tetragonal e_tot_ev_per_atom=-5.882 sg="P4/mmm, No. 123" pbc="T T T"
H 0.0000 0.0000 0.0000
Cu 0.0000 0.0000 2.0488
Ga 1.8365 1.8365 2.0488
V 0.0000 1.8365 0.0000
V 1.8365 0.0000 0.0000

Entry 5:
7
Lattice="-3.6521 -1.7255 -2.2376 2.5563 -3.5757 -1.4149 -2.3157 -6.1124 3.7284" Properties=species:S:1:pos:R:3 comment="Hf2Zn4Rh (PBE, relaxed)" crystal_system=tetragonal sg="I4/mmm, No. 139" ef_kcal_per_mol_atoms=7.9 pbc="T T T"
Rh 0.0000 0.0000 0.0000
Zn -1.7413 -6.5652 -1.6243
Zn -1.6702 -4.8483 1.7002
Zn 1.2781 -1.7878 -0.7074
Zn -1.8260 -0.8627 -1.1188
Hf -2.4498 -7.9526 0.6019
Hf -0.9617 -3.4609 -0.5260

Entry 6:
10
Lattice="5.2456 0.0000 0.0000 0.0000 5.8160 0.0000 0.0000 -2.9080 5.0368" Properties=species:S:1:pos:R:3 comment="Ba2CdH6Rh (PBE, relaxed)" crystal_system=trigonal e_tot_ev_per_atom=-3.502 sg="P-3m1, No. 164" pbc="T T T"
Ba 1.1818 0.0000 3.3579
Ba 4.0638 2.9080 1.6789
Cd 2.6228 0.0000 0.0000
H 4.2363 0.0000 1.4985
H 4.2363 -1.6103 4.2875
H 4.2363 1.6103 4.2875
H 1.0093 4.5183 0.7492
H 1.0093 1.2977 0.7492
H 1.0093 2.9080 3.5383
Rh 0.0000 0.0000 0.0000

Short version: magnetic moment = 0.000, 0.000, 0.000, 0.000, 0.000, 0.000 μB/atom, in the order given.